Material: Li2MnOF3
Method: DFT, GGA+U
State: relaxed

Computed properties:
Space group = C2, No. 5
E above lowest polymorph = 0.031 eV/atom

Structure (CIF):
```
data_Li2MnOF3
_chemical_formula_sum 'Li4 Mn2 O2 F6'
_symmetry_space_group_name_H-M 'P 1'
_symmetry_Int_Tables_number 1
_cell_length_a 5.272
_cell_length_b 5.711
_cell_length_c 5.711
_cell_angle_alpha 118.71
_cell_angle_beta 90.34
_cell_angle_gamma 89.66
loop_
_symmetry_equiv_pos_as_xyz
'x,y,z'
loop_
_atom_site_label
_atom_site_type_symbol
_atom_site_fract_x
_atom_site_fract_y
_atom_site_fract_z
Li1 Li 0.991 0.966 0.331
Li2 Li 0.009 0.331 0.966
Li3 Li 0.472 0.659 0.073
Li4 Li 0.528 0.073 0.659
Mn1 Mn 0.000 0.614 0.614
Mn2 Mn 0.500 0.368 0.368
O1 O 0.809 0.488 0.294
O2 O 0.191 0.294 0.488
F1 F 0.874 0.983 0.721
F2 F 0.126 0.721 0.983
F3 F 0.365 0.280 0.000
F4 F 0.635 0.000 0.280
F5 F 0.335 0.745 0.477
F6 F 0.665 0.477 0.745
```